Compound: Tb2CeHg4
Source: Alexandria via LeMat-Bulk
Functional: PBE
Structure: relaxed

Properties
space group: P4/mmm (123)
DFT formation energy: -272.8 meV per atom
D(E_F): 10.39 states/eV/cell
energy above the lowest structure with this stoichiometry: 0.000 eV/atom
size of the total moment: 1.28 μB per formula unit

Cell lengths 5.262, 5.262, 7.239 Å; angles 90.00, 90.00, 90.00 degrees
Fractional positions:
Tb  0.000  0.000  0.000
Tb  0.500  0.500  0.500
Ce  0.000  0.000  0.500
Hg  0.000  0.500  0.232
Hg  0.000  0.500  0.768
Hg  0.500  0.000  0.232
Hg  0.500  0.000  0.768

***

Compound: TbCeHg2
Source: Alexandria via LeMat-Bulk
Functional: PBE
Structure: relaxed

Properties
space group: Fm-3m (225)
DFT formation energy: -374.0 meV per atom
D(E_F): 46.33 states/eV/cell
energy above the lowest structure with this stoichiometry: 0.012 eV/atom
size of the total moment: 1.69 μB per formula unit

Cell lengths 7.571, 7.571, 7.571 Å; angles 90.00, 90.00, 90.00 degrees
Fractional positions:
Tb  0.000  0.000  0.000
Tb  0.000  0.500  0.500
Tb  0.500  0.000  0.500
Tb  0.500  0.500  0.000
Ce  0.000  0.000  0.500
Ce  0.000  0.500  0.000
Ce  0.500  0.000  0.000
Ce  0.500  0.500  0.500
Hg  0.250  0.250  0.250
Hg  0.250  0.250  0.750
Hg  0.250  0.750  0.250
Hg  0.250  0.750  0.750
Hg  0.750  0.250  0.250
Hg  0.750  0.250  0.750
Hg  0.750  0.750  0.250
Hg  0.750  0.750  0.750

***

Compound: Tb2CeHg8
Source: Alexandria via LeMat-Bulk
Functional: PBE
Structure: relaxed

Properties
space group: Immm (71)
DFT formation energy: -291.3 meV per atom
D(E_F): 12.04 states/eV/cell
energy above the lowest structure with this stoichiometry: 0.014 eV/atom
size of the total moment: 1.02 μB per formula unit

Cell lengths 8.698, 8.698, 8.698 Å; angles 145.50, 129.96, 62.20 degrees
Fractional positions:
Tb  0.189  0.189  0.000
Tb  0.811  0.811  0.000
Ce  0.500  0.500  0.000
Hg  0.061  0.347  0.714
Hg  0.207  0.000  0.207
Hg  0.343  0.843  0.500
Hg  0.367  0.653  0.714
Hg  0.633  0.347  0.286
Hg  0.657  0.157  0.500
Hg  0.793  0.000  0.793
Hg  0.939  0.653  0.286

***

Compound: Tb3CeHg6
Source: Alexandria via LeMat-Bulk
Functional: PBE
Structure: relaxed

Properties
space group: P2_1/m (11)
DFT formation energy: -397.6 meV per atom
D(E_F): 26.54 states/eV/cell
size of the total moment: 1.08 μB per formula unit

Cell lengths 9.287, 5.206, 11.253 Å; angles 90.00, 106.95, 90.00 degrees
Fractional positions:
Tb  0.010  0.250  0.387
Tb  0.148  0.750  0.197
Tb  0.270  0.250  0.995
Tb  0.730  0.750  0.005
Tb  0.852  0.250  0.803
Tb  0.990  0.750  0.613
Ce  0.433  0.250  0.616
Ce  0.567  0.750  0.384
Hg  0.035  0.750  0.907
Hg  0.143  0.250  0.708
Hg  0.250  0.750  0.482
Hg  0.327  0.250  0.310
Hg  0.358  0.750  0.794
Hg  0.437  0.750  0.092
Hg  0.563  0.250  0.908
Hg  0.642  0.250  0.206
Hg  0.673  0.750  0.690
Hg  0.750  0.250  0.518
Hg  0.857  0.750  0.292
Hg  0.965  0.250  0.093

***

Compound: Tb2CeHg2
Source: Alexandria via LeMat-Bulk
Functional: PBE
Structure: relaxed

Properties
space group: P-3m1 (164)
DFT formation energy: -156.2 meV per atom
D(E_F): 12.44 states/eV/cell
size of the total moment: 1.91 μB per formula unit

Cell lengths 5.246, 5.246, 6.371 Å; angles 90.00, 90.00, 120.00 degrees
Fractional positions:
Tb  0.333  0.667  0.162
Tb  0.667  0.333  0.838
Ce  0.000  0.000  0.500
Hg  0.333  0.667  0.679
Hg  0.667  0.333  0.321

***

Compound: TbCe2Hg8
Source: Alexandria via LeMat-Bulk
Functional: PBE
Structure: relaxed

Properties
space group: C2/m (12)
DFT formation energy: -291.6 meV per atom
D(E_F): 17.42 states/eV/cell
size of the total moment: 2.29 μB per formula unit

Cell lengths 8.405, 8.405, 7.324 Å; angles 109.49, 109.49, 35.48 degrees
Fractional positions:
Tb  0.000  0.000  0.000
Ce  0.292  0.292  0.346
Ce  0.708  0.708  0.654
Hg  0.094  0.094  0.447
Hg  0.166  0.166  0.891
Hg  0.347  0.347  0.840
Hg  0.484  0.484  0.272
Hg  0.516  0.516  0.728
Hg  0.653  0.653  0.160
Hg  0.834  0.834  0.109
Hg  0.906  0.906  0.553

***

Compound: TbCeHg2
Source: Alexandria via LeMat-Bulk
Functional: PBE
Structure: relaxed

Properties
space group: R-3m (166)
DFT formation energy: -237.7 meV per atom
D(E_F): 22.06 states/eV/cell
energy above the lowest structure with this stoichiometry: 0.148 eV/atom
size of the total moment: 1.23 μB per formula unit

Cell lengths 3.675, 3.675, 29.315 Å; angles 90.00, 90.00, 120.00 degrees
Fractional positions:
Tb  0.000  0.000  0.000
Tb  0.333  0.667  0.667
Tb  0.667  0.333  0.333
Ce  0.000  0.000  0.500
Ce  0.333  0.667  0.167
Ce  0.667  0.333  0.833
Hg  0.000  0.000  0.253
Hg  0.000  0.000  0.747
Hg  0.333  0.667  0.413
Hg  0.333  0.667  0.920
Hg  0.667  0.333  0.080
Hg  0.667  0.333  0.587

***

Compound: TbCe5Hg6
Source: Alexandria via LeMat-Bulk
Functional: PBE
Structure: relaxed

Properties
space group: Immm (71)
DFT formation energy: -321.6 meV per atom
D(E_F): 40.68 states/eV/cell
size of the total moment: 7.04 μB per formula unit

Cell lengths 9.253, 9.253, 9.253 Å; angles 146.67, 129.87, 61.53 degrees
Fractional positions:
Tb  0.000  0.000  0.000
Ce  0.180  0.680  0.500
Ce  0.342  0.342  0.000
Ce  0.500  0.000  0.500
Ce  0.658  0.658  0.000
Ce  0.820  0.320  0.500
Hg  0.073  0.838  0.235
Hg  0.224  0.500  0.724
Hg  0.397  0.162  0.235
Hg  0.603  0.838  0.765
Hg  0.776  0.500  0.276
Hg  0.927  0.162  0.765

***

Compound: Tb2CeHg3
Source: Alexandria via LeMat-Bulk
Functional: PBE
Structure: relaxed

Properties
space group: P4/mmm (123)
DFT formation energy: -417.8 meV per atom
D(E_F): 12.08 states/eV/cell
size of the total moment: 1.84 μB per formula unit

Cell lengths 3.734, 3.734, 11.516 Å; angles 90.00, 90.00, 90.00 degrees
Fractional positions:
Tb  0.000  0.000  0.163
Tb  0.000  0.000  0.837
Ce  0.000  0.000  0.500
Hg  0.500  0.500  0.000
Hg  0.500  0.500  0.320
Hg  0.500  0.500  0.680

***

Compound: Tb2Ce3Hg6
Source: Alexandria via LeMat-Bulk
Functional: PBE
Structure: relaxed

Properties
space group: I4/mmm (139)
DFT formation energy: 9.2 meV per atom
D(E_F): 26.74 states/eV/cell
size of the total moment: 5.14 μB per formula unit

Cell lengths 12.046, 12.046, 12.046 Å; angles 152.19, 152.19, 39.73 degrees
Fractional positions:
Tb  0.083  0.083  0.000
Tb  0.917  0.917  0.000
Ce  0.361  0.361  0.000
Ce  0.500  0.500  0.000
Ce  0.639  0.639  0.000
Hg  0.069  0.569  0.500
Hg  0.218  0.218  0.000
Hg  0.431  0.931  0.500
Hg  0.569  0.069  0.500
Hg  0.782  0.782  0.000
Hg  0.931  0.431  0.500

***

Compound: Tb2CeHg4
Source: Alexandria via LeMat-Bulk
Functional: PBE
Structure: relaxed

Properties
space group: R-3m (166)
DFT formation energy: -261.1 meV per atom
D(E_F): 9.68 states/eV/cell
energy above the lowest structure with this stoichiometry: 0.012 eV/atom
size of the total moment: 1.29 μB per formula unit

Cell lengths 9.416, 9.416, 9.416 Å; angles 30.63, 30.63, 30.63 degrees
Fractional positions:
Tb  0.124  0.124  0.124
Tb  0.876  0.876  0.876
Ce  0.000  0.000  0.000
Hg  0.248  0.248  0.248
Hg  0.395  0.395  0.395
Hg  0.605  0.605  0.605
Hg  0.752  0.752  0.752

***

Compound: Tb3Ce2Hg3
Source: Alexandria via LeMat-Bulk
Functional: PBE
Structure: relaxed

Properties
space group: Immm (71)
DFT formation energy: -300.8 meV per atom
D(E_F): 29.61 states/eV/cell
size of the total moment: 1.58 μB per formula unit

Cell lengths 3.645, 5.327, 22.473 Å; angles 90.00, 90.00, 90.00 degrees
Fractional positions:
Tb  0.000  0.000  0.000
Tb  0.000  0.500  0.120
Tb  0.000  0.500  0.880
Tb  0.500  0.000  0.380
Tb  0.500  0.000  0.620
Tb  0.500  0.500  0.500
Ce  0.000  0.000  0.238
Ce  0.000  0.000  0.762
Ce  0.500  0.500  0.262
Ce  0.500  0.500  0.738
Hg  0.000  0.000  0.500
Hg  0.000  0.500  0.381
Hg  0.000  0.500  0.619
Hg  0.500  0.000  0.119
Hg  0.500  0.000  0.881
Hg  0.500  0.500  0.000